Entry 1:
Here is a PBEsol-optimized structure of CaMo4Os from Alexandria. Energies are from SCAN.

## Properties
Formation enthalpy at 0 K: 0.53 eV per atom
Crystal system: cubic

CIF file:
```
data_CaMo4Os
_chemical_formula_sum 'Ca4 Mo16 Os4'
_space_group_name_H-M_alt 'F -4 3 m'
_space_group_IT_number 216
_space_group_name_Hall 'F -4 2 3'
_cell_length_a 7.387
_cell_length_b 7.387
_cell_length_c 7.387
_cell_angle_alpha 90.00
_cell_angle_beta 90.00
_cell_angle_gamma 90.00
loop_
_atom_site_label
_atom_site_type_symbol
_atom_site_fract_x
_atom_site_fract_y
_atom_site_fract_z
Ca1 Ca 0.000 0.000 0.000
Mo1 Mo 0.126 0.126 0.374
Os1 Os 0.250 0.250 0.750
```

***

Entry 2:
Here is a PBEsol-optimized structure of KBa2Sr from Alexandria. Energies are from SCAN.

## Properties
Formation enthalpy at 0 K: 0.06 eV per atom
Relative energy among the computed polymorphs: 2.0 meV per atom
Crystal system: trigonal

CIF file:
```
data_KBa2Sr
_chemical_formula_sum 'K3 Ba6 Sr3'
_space_group_name_H-M_alt 'R -3 m'
_space_group_IT_number 166
_space_group_name_Hall '-R 3 2"'
_cell_length_a 4.3393
_cell_length_b 4.3393
_cell_length_c 43.8689
_cell_angle_alpha 90.00
_cell_angle_beta 90.00
_cell_angle_gamma 120.00
loop_
_atom_site_label
_atom_site_type_symbol
_atom_site_fract_x
_atom_site_fract_y
_atom_site_fract_z
K1 K 0.0000 0.0000 0.0000
Ba1 Ba 0.0000 0.0000 0.2459
Sr1 Sr 0.0000 0.0000 0.5000
```

***

Entry 3:
Here is a PBEsol-optimized structure of CsBePO2 from Alexandria. Energies are from SCAN.

## Properties
Formation energy from raw total energies: 45.9 meV per atom
Relative energy among the computed polymorphs: 0.0 meV per atom
Crystal system: tetragonal

CIF file:
```
data_CsBePO2
_chemical_formula_sum 'Cs1 Be1 P1 O2'
_space_group_name_H-M_alt 'P 4/m m m'
_space_group_IT_number 123
_space_group_name_Hall '-P 4 2'
_cell_length_a 3.987
_cell_length_b 3.987
_cell_length_c 4.316
_cell_angle_alpha 90.00
_cell_angle_beta 90.00
_cell_angle_gamma 90.00
loop_
_atom_site_label
_atom_site_type_symbol
_atom_site_fract_x
_atom_site_fract_y
_atom_site_fract_z
Cs1 Cs 0.000 0.000 0.000
Be1 Be 0.500 0.500 0.500
P1 P 0.500 0.500 0.000
O1 O 0.000 0.500 0.500
```

***

Entry 4:
Here is a PBEsol-optimized structure of LiNF3 from Alexandria. Energies are from SCAN.

## Properties
Formation energy from raw total energies: -470.7 meV per atom
Crystal system: cubic

CIF file:
```
data_LiNF3
_chemical_formula_sum 'Li1 N1 F3'
_space_group_name_H-M_alt 'P m -3 m'
_space_group_IT_number 221
_space_group_name_Hall '-P 4 2 3'
_cell_length_a 3.705
_cell_length_b 3.705
_cell_length_c 3.705
_cell_angle_alpha 90.00
_cell_angle_beta 90.00
_cell_angle_gamma 90.00
loop_
_atom_site_label
_atom_site_type_symbol
_atom_site_fract_x
_atom_site_fract_y
_atom_site_fract_z
Li1 Li 0.000 0.000 0.000
N1 N 0.500 0.500 0.500
F1 F 0.000 0.500 0.500
```

***

Entry 5:
Here is a PBEsol-optimized structure of YScFe4 from Alexandria. Energies are from SCAN.

## Properties
Formation enthalpy at 0 K: -0.07 eV per atom
Crystal system: cubic

CIF file:
```
data_YScFe4
_chemical_formula_sum 'Y4 Sc4 Fe16'
_space_group_name_H-M_alt 'F -4 3 m'
_space_group_IT_number 216
_space_group_name_Hall 'F -4 2 3'
_cell_length_a 6.977
_cell_length_b 6.977
_cell_length_c 6.977
_cell_angle_alpha 90.00
_cell_angle_beta 90.00
_cell_angle_gamma 90.00
loop_
_atom_site_label
_atom_site_type_symbol
_atom_site_fract_x
_atom_site_fract_y
_atom_site_fract_z
Y1 Y 0.000 0.000 0.000
Sc1 Sc 0.250 0.250 0.750
Fe1 Fe 0.125 0.125 0.375
```

***

Entry 6:
Here is a PBEsol-optimized structure of HfTlSiAs2 from Alexandria. Energies are from SCAN.

## Properties
Formation energy from raw total energies: 819.9 meV per atom
Crystal system: tetragonal

CIF file:
```
data_HfTlSiAs2
_chemical_formula_sum 'Hf1 Tl1 Si1 As2'
_space_group_name_H-M_alt 'P 4/m m m'
_space_group_IT_number 123
_space_group_name_Hall '-P 4 2'
_cell_length_a 4.728
_cell_length_b 4.728
_cell_length_c 4.973
_cell_angle_alpha 90.00
_cell_angle_beta 90.00
_cell_angle_gamma 90.00
loop_
_atom_site_label
_atom_site_type_symbol
_atom_site_fract_x
_atom_site_fract_y
_atom_site_fract_z
Hf1 Hf 0.000 0.000 0.000
Tl1 Tl 0.500 0.500 0.000
Si1 Si 0.500 0.500 0.500
As1 As 0.000 0.500 0.500
```

***

Entry 7:
Here is a PBEsol-optimized structure of MnMoS2N from Alexandria. Energies are from SCAN.

## Properties
Formation energy from raw total energies: 355.9 meV per atom
Crystal system: tetragonal

CIF file:
```
data_MnMoS2N
_chemical_formula_sum 'Mn1 Mo1 S2 N1'
_space_group_name_H-M_alt 'P 4/m m m'
_space_group_IT_number 123
_space_group_name_Hall '-P 4 2'
_cell_length_a 4.536
_cell_length_b 4.536
_cell_length_c 3.364
_cell_angle_alpha 90.00
_cell_angle_beta 90.00
_cell_angle_gamma 90.00
loop_
_atom_site_label
_atom_site_type_symbol
_atom_site_fract_x
_atom_site_fract_y
_atom_site_fract_z
Mn1 Mn 0.000 0.000 0.000
Mo1 Mo 0.500 0.500 0.500
S1 S 0.000 0.500 0.000
N1 N 0.000 0.000 0.500
```

***

Entry 8:
Here is a PBEsol-optimized structure of YInCo2Se from Alexandria. Energies are from SCAN.

## Properties
Formation energy from raw total energies: 536.5 meV per atom
Crystal system: tetragonal

CIF file:
```
data_YInCo2Se
_chemical_formula_sum 'Y1 In1 Co2 Se1'
_space_group_name_H-M_alt 'P 4/m m m'
_space_group_IT_number 123
_space_group_name_Hall '-P 4 2'
_cell_length_a 4.597
_cell_length_b 4.597
_cell_length_c 5.690
_cell_angle_alpha 90.00
_cell_angle_beta 90.00
_cell_angle_gamma 90.00
loop_
_atom_site_label
_atom_site_type_symbol
_atom_site_fract_x
_atom_site_fract_y
_atom_site_fract_z
Y1 Y 0.000 0.000 0.000
In1 In 0.000 0.000 0.500
Co1 Co 0.000 0.500 0.500
Se1 Se 0.500 0.500 0.000
```